Computed, not measured: a geometry-optimized CeGa4Co9 structure at the GGA-PBEsol level of DFT.

formation enthalpy at 0 K	-0.25	eV/atom
DOS(E_F)	32.88	states/eV per cell

CIF file:
```
data_CeGa4Co9
_symmetry_space_group_name_H-M 'P 1'
_symmetry_Int_Tables_number 1
_cell_length_a 7.981
_cell_length_b 7.981
_cell_length_c 7.981
_cell_angle_alpha 121.26
_cell_angle_beta 121.26
_cell_angle_gamma 87.83
loop_
_symmetry_equiv_pos_as_xyz
'x,y,z'
loop_
_atom_site_label
_atom_site_type_symbol
_atom_site_fract_x
_atom_site_fract_y
_atom_site_fract_z
Ce1 Ce 0.250 0.250 0.000
Ce2 Ce 0.750 0.750 0.000
Ga1 Ga 0.055 0.555 0.860
Ga2 Ga 0.195 0.055 0.500
Ga3 Ga 0.305 0.805 0.860
Ga4 Ga 0.445 0.305 0.500
Ga5 Ga 0.555 0.695 0.500
Ga6 Ga 0.695 0.195 0.140
Ga7 Ga 0.805 0.945 0.500
Ga8 Ga 0.945 0.445 0.140
Co1 Co 0.000 0.500 0.500
Co2 Co 0.061 0.789 0.500
Co3 Co 0.062 0.199 0.261
Co4 Co 0.199 0.938 0.137
Co5 Co 0.211 0.711 0.271
Co6 Co 0.289 0.561 0.500
Co7 Co 0.301 0.438 0.739
Co8 Co 0.438 0.699 0.137
Co9 Co 0.439 0.939 0.729
Co10 Co 0.500 0.000 0.500
Co11 Co 0.561 0.061 0.271
Co12 Co 0.562 0.301 0.863
Co13 Co 0.699 0.562 0.261
Co14 Co 0.711 0.439 0.500
Co15 Co 0.789 0.289 0.729
Co16 Co 0.801 0.062 0.863
Co17 Co 0.938 0.801 0.739
Co18 Co 0.939 0.211 0.500
```